Ce2As3Pd2: relaxed, PBE-GGA.

## Properties
Calculated formation energy   -0.9488 eV per atom
Total magnetic moment   0.128 μB/atom
Crystal system   orthorhombic

Unit cell a=4.1571 b=7.5173 c=9.5701 alpha=90.00 beta=102.54 gamma=90.00
Fractional positions:
Pd: 0.2999 0.4440 0.5998
Pd: 0.2999 0.0560 0.5998
As: 0.4311 0.5337 0.8622
As: 0.5689 0.0337 0.1378
As: 0.5689 0.4663 0.1378
As: 0.2271 0.7500 0.4543
Ce: 0.1459 0.2500 0.2917
Ce: 0.0581 0.7500 0.1163
As: 0.4311 0.9663 0.8622
Pd: 0.7001 0.5560 0.4002
Ce: 0.9419 0.2500 0.8837
Pd: 0.7001 0.9440 0.4002
As: 0.7729 0.2500 0.5457
Ce: 0.8541 0.7500 0.7083